[1]
Density functional theory data (PBE-GGA) for a relaxed In2PbO4 crystal.

a = 3.3471 Å, b = 10.9374 Å, c = 10.9390 Å
α = 90.00°, β = 90.00°, γ = 90.00°
Space group Cmcm (No. 63)
One atom of each set of equivalent atoms:
In: 0.0000 0.1366 0.0699 (multiplicity 8)
Pb: 0.0000 0.3943 0.2500 (multiplicity 4)
O: 0.0000 0.0559 0.2500 (multiplicity 4)
O: 0.0000 0.2353 0.6045 (multiplicity 8)
O: 0.0000 0.5000 0.0000 (multiplicity 4)

Properties
ρ ... 8.3 g/cm³
Total magnetic moment ... 0.0 μB per formula unit
Raw formation energy ... -1.359 eV/atom
Excess energy over the best structure of this formula in the dataset ... 64 meV per atom


[2]
Density functional theory data (PBE-GGA) for a relaxed In2Pb2O7 crystal.

a = 10.6288 Å, b = 10.6288 Å, c = 10.6288 Å
α = 90.00°, β = 90.00°, γ = 90.00°
Space group Fd-3m (No. 227, origin choice 2)
One atom of each set of equivalent atoms:
In: 0.0000 0.0000 0.0000 (multiplicity 16)
Pb: 0.0000 0.0000 0.5000 (multiplicity 16)
O: 0.1070 0.3750 0.3750 (multiplicity 48)
O: 0.1250 0.1250 0.6250 (multiplicity 8)

Properties
ρ ... 8.4 g/cm³
Total magnetic moment ... 0.0 μB per formula unit
Raw formation energy ... -1.018 eV/atom


[3]
Density functional theory data (PBE-GGA) for a relaxed In3PbO crystal.

a = 4.9357 Å, b = 4.9357 Å, c = 4.9357 Å
α = 90.00°, β = 90.00°, γ = 90.00°
Space group Pm-3m (No. 221)
One atom of each set of equivalent atoms:
In: 0.0000 0.0000 0.5000 (multiplicity 3)
Pb: 0.5000 0.5000 0.5000 (multiplicity 1)
O: 0.0000 0.0000 0.0000 (multiplicity 1)

Properties
ρ ... 7.8 g/cm³
Total magnetic moment ... 0.0 μB per formula unit
Raw formation energy ... -0.218 eV/atom
Excess energy over the best structure of this formula in the dataset ... 0 meV per atom


[4]
Density functional theory data (PBE-GGA) for a relaxed InPdPb2O6 crystal.

a = 5.7132 Å, b = 5.8768 Å, c = 9.9391 Å
α = 90.00°, β = 125.04°, γ = 90.00°
Space group P2_1/c (No. 14)
One atom of each set of equivalent atoms:
In: 0.0000 0.0000 0.0000 (multiplicity 2)
Pd: 0.5000 0.0000 0.5000 (multiplicity 2)
Pb: 0.2400 0.0481 0.7512 (multiplicity 4)
O: 0.1568 0.1930 0.4487 (multiplicity 4)
O: 0.2647 0.7070 0.4495 (multiplicity 4)
O: 0.3633 0.0406 0.2602 (multiplicity 4)

Properties
ρ ... 8.9 g/cm³
Total magnetic moment ... 0.0 μB per formula unit
Raw formation energy ... -0.886 eV/atom


[5]
Density functional theory data (PBE-GGA) for a relaxed InPtPbO6 crystal.

a = 4.8670 Å, b = 4.8670 Å, c = 10.0339 Å
α = 90.00°, β = 90.00°, γ = 90.00°
Space group P4_2nm (No. 102)
One atom of each set of equivalent atoms:
In: 0.0000 0.0000 0.0000 (multiplicity 2)
Pt: 0.0000 0.0000 0.6658 (multiplicity 2)
Pb: 0.0000 0.0000 0.3327 (multiplicity 2)
O: 0.1819 0.1819 0.8225 (multiplicity 4)
O: 0.1867 0.1867 0.5133 (multiplicity 4)
O: 0.2111 0.2111 0.1634 (multiplicity 4)

Properties
ρ ... 8.6 g/cm³
Total magnetic moment ... 0.6 μB per formula unit
Raw formation energy ... -0.833 eV/atom


[6]
Density functional theory data (PBE-GGA) for a relaxed InPtPb2O6 crystal.

a = 5.8052 Å, b = 5.8399 Å, c = 9.9297 Å
α = 90.00°, β = 124.83°, γ = 90.00°
Space group P2_1/c (No. 14)
One atom of each set of equivalent atoms:
In: 0.0000 0.0000 0.0000 (multiplicity 2)
Pt: 0.5000 0.0000 0.5000 (multiplicity 2)
Pb: 0.2672 0.0376 0.7508 (multiplicity 4)
O: 0.1644 0.0368 0.2614 (multiplicity 4)
O: 0.2878 0.7128 0.0558 (multiplicity 4)
O: 0.3502 0.2326 0.0590 (multiplicity 4)

Properties
ρ ... 9.9 g/cm³
Total magnetic moment ... 0.0 μB per formula unit
Raw formation energy ... -0.950 eV/atom


[7]
Density functional theory data (PBE-GGA) for a relaxed PuInPb2O8 crystal.

a = 7.1849 Å, b = 7.2746 Å, c = 6.7847 Å
α = 90.00°, β = 90.00°, γ = 90.00°
Space group Cmmm (No. 65)
One atom of each set of equivalent atoms:
Pu: 0.0000 0.0000 0.0000 (multiplicity 2)
In: 0.0000 0.0000 0.5000 (multiplicity 2)
Pb: 0.0000 0.5000 0.2529 (multiplicity 4)
O: 0.0000 0.1864 0.2343 (multiplicity 8)
O: 0.1986 0.5000 0.0000 (multiplicity 4)
O: 0.1994 0.5000 0.5000 (multiplicity 4)

Properties
ρ ... 8.4 g/cm³
Total magnetic moment ... 2.8 μB per formula unit
Raw formation energy ... -1.526 eV/atom


[8]
Density functional theory data (PBE-GGA) for a relaxed PuInPbO6 crystal.

a = 5.5925 Å, b = 5.5925 Å, c = 10.7049 Å
α = 90.00°, β = 90.00°, γ = 120.00°
Space group P-31c (No. 163)
One atom of each set of equivalent atoms:
Pu: 0.3333 0.6667 0.2500 (multiplicity 2)
In: 0.3333 0.6667 0.7500 (multiplicity 2)
Pb: 0.0000 0.0000 0.0000 (multiplicity 2)
O: 0.0240 0.3748 0.1437 (multiplicity 12)

Properties
ρ ... 7.6 g/cm³
Total magnetic moment ... 1.0 μB per formula unit
Raw formation energy ... -1.786 eV/atom


[9]
Density functional theory data (PBE-GGA) for a relaxed InRe2PbO8 crystal.

a = 6.2474 Å, b = 6.2474 Å, c = 7.8063 Å
α = 90.00°, β = 90.00°, γ = 120.00°
Space group P-3m1 (No. 164)
One atom of each set of equivalent atoms:
In: 0.0000 0.0000 0.0000 (multiplicity 1)
Re: 0.3333 0.6667 0.3312 (multiplicity 2)
Pb: 0.0000 0.0000 0.5000 (multiplicity 1)
O: 0.1749 0.3497 0.2671 (multiplicity 6)
O: 0.3333 0.6667 0.5556 (multiplicity 2)

Properties
ρ ... 5.2 g/cm³
Total magnetic moment ... 0.0 μB per formula unit
Raw formation energy ... -1.385 eV/atom


[10]
Density functional theory data (PBE-GGA) for a relaxed InRePbO2 crystal.

a = 3.9645 Å, b = 3.9645 Å, c = 5.9871 Å
α = 90.00°, β = 90.00°, γ = 90.00°
Space group P4/mmm (No. 123)
One atom of each set of equivalent atoms:
In: 0.0000 0.0000 0.0000 (multiplicity 1)
Re: 0.5000 0.5000 0.5000 (multiplicity 1)
Pb: 0.5000 0.5000 0.0000 (multiplicity 1)
O: 0.0000 0.5000 0.5000 (multiplicity 2)

Properties
ρ ... 9.5 g/cm³
Total magnetic moment ... 0.0 μB per formula unit
Raw formation energy ... -0.435 eV/atom


[11]
Density functional theory data (PBE-GGA) for a relaxed InRhPb2O6 crystal.

a = 5.6947 Å, b = 5.8431 Å, c = 9.8981 Å
α = 90.00°, β = 124.99°, γ = 90.00°
Space group P2_1/c (No. 14)
One atom of each set of equivalent atoms:
In: 0.0000 0.0000 0.0000 (multiplicity 2)
Rh: 0.5000 0.0000 0.5000 (multiplicity 2)
Pb: 0.2612 0.0448 0.7483 (multiplicity 4)
O: 0.1613 0.0429 0.2624 (multiplicity 4)
O: 0.2654 0.6956 0.0507 (multiplicity 4)
O: 0.3649 0.2191 0.0568 (multiplicity 4)

Properties
ρ ... 9.0 g/cm³
Total magnetic moment ... 0.0 μB per formula unit
Raw formation energy ... -1.023 eV/atom


[12]
Density functional theory data (PBE-GGA) for a relaxed In2RhPbO crystal.

a = 5.5995 Å, b = 5.5995 Å, c = 3.7192 Å
α = 90.00°, β = 90.00°, γ = 90.00°
Space group P4/mmm (No. 123)
One atom of each set of equivalent atoms:
In: 0.0000 0.5000 0.0000 (multiplicity 2)
Rh: 0.0000 0.0000 0.0000 (multiplicity 1)
Pb: 0.5000 0.5000 0.5000 (multiplicity 1)
O: 0.0000 0.0000 0.5000 (multiplicity 1)

Properties
ρ ... 7.9 g/cm³
Total magnetic moment ... 0.0 μB per formula unit
Raw formation energy ... -0.185 eV/atom


[13]
Density functional theory data (PBE-GGA) for a relaxed InRuPb2O6 crystal.

a = 5.7966 Å, b = 5.8070 Å, c = 9.9650 Å
α = 90.00°, β = 125.12°, γ = 90.00°
Space group P2_1/c (No. 14)
One atom of each set of equivalent atoms:
In: 0.0000 0.0000 0.0000 (multiplicity 2)
Ru: 0.5000 0.0000 0.5000 (multiplicity 2)
Pb: 0.2611 0.0303 0.7506 (multiplicity 4)
O: 0.1827 0.0186 0.2634 (multiplicity 4)
O: 0.2747 0.7073 0.0438 (multiplicity 4)
O: 0.3421 0.2291 0.0453 (multiplicity 4)

Properties
ρ ... 8.8 g/cm³
Total magnetic moment ... 2.9 μB per formula unit
Raw formation energy ... -1.108 eV/atom


[14]
Density functional theory data (PBE-GGA) for a relaxed InRuPbO6 crystal.

a = 5.4739 Å, b = 5.4739 Å, c = 4.7692 Å
α = 90.00°, β = 90.00°, γ = 120.00°
Space group P312 (No. 149)
One atom of each set of equivalent atoms:
In: 0.0000 0.0000 0.0000 (multiplicity 1)
Ru: 0.3333 0.6667 0.0000 (multiplicity 1)
Pb: 0.6667 0.3333 0.5000 (multiplicity 1)
O: 0.0527 0.3648 0.2304 (multiplicity 6)

Properties
ρ ... 7.0 g/cm³
Total magnetic moment ... 0.6 μB per formula unit
Raw formation energy ... -0.974 eV/atom


[15]
Density functional theory data (PBE-GGA) for a relaxed InRu2PbO8 crystal.

a = 5.8079 Å, b = 5.8079 Å, c = 7.1310 Å
α = 90.00°, β = 90.00°, γ = 120.00°
Space group P-3 (No. 147)
One atom of each set of equivalent atoms:
In: 0.0000 0.0000 0.0000 (multiplicity 1)
Ru: 0.3333 0.6667 0.2647 (multiplicity 2)
Pb: 0.0000 0.0000 0.5000 (multiplicity 1)
O: 0.1095 0.3161 0.2074 (multiplicity 6)
O: 0.3333 0.6667 0.5128 (multiplicity 2)

Properties
ρ ... 5.2 g/cm³
Total magnetic moment ... 3.0 μB per formula unit
Raw formation energy ... -0.844 eV/atom


[16]
Density functional theory data (PBE-GGA) for a relaxed InPbS2O8 crystal.

a = 8.6541 Å, b = 5.5284 Å, c = 7.9861 Å
α = 90.00°, β = 90.55°, γ = 90.00°
Space group C2/m (No. 12)
One atom of each set of equivalent atoms:
In: 0.0000 0.0000 0.0000 (multiplicity 2)
Pb: 0.0000 0.0000 0.5000 (multiplicity 2)
S: 0.1339 0.5000 0.7604 (multiplicity 4)
O: 0.0308 0.2780 0.7646 (multiplicity 8)
O: 0.2183 0.5000 0.5996 (multiplicity 4)
O: 0.2339 0.5000 0.9107 (multiplicity 4)

Properties
ρ ... 4.5 g/cm³
Total magnetic moment ... 0.0 μB per formula unit
Raw formation energy ... -1.328 eV/atom


[17]
Density functional theory data (PBE-GGA) for a relaxed InSbPbO6 crystal.

a = 5.4701 Å, b = 5.4701 Å, c = 9.2284 Å
α = 90.00°, β = 90.00°, γ = 120.00°
Space group P-31c (No. 163)
One atom of each set of equivalent atoms:
In: 0.0000 0.0000 0.0000 (multiplicity 2)
Sb: 0.3333 0.6667 0.2500 (multiplicity 2)
Pb: 0.3333 0.6667 0.7500 (multiplicity 2)
O: 0.0250 0.3584 0.1291 (multiplicity 12)

Properties
ρ ... 7.5 g/cm³
Total magnetic moment ... 0.0 μB per formula unit
Raw formation energy ... -1.220 eV/atom


[18]
Density functional theory data (PBE-GGA) for a relaxed InSbPb2O5 crystal.

a = 3.5339 Å, b = 16.7748 Å, c = 10.8758 Å
α = 90.00°, β = 90.00°, γ = 90.00°
Space group Cmc2_1 (No. 36)
One atom of each set of equivalent atoms:
In: 0.0000 0.2068 0.0000 (multiplicity 4)
Sb: 0.0000 0.4638 0.4658 (multiplicity 4)
Pb: 0.0000 0.1142 0.2790 (multiplicity 4)
Pb: 0.0000 0.1419 0.6329 (multiplicity 4)
O: 0.0000 0.0826 0.0587 (multiplicity 4)
O: 0.0000 0.2758 0.6298 (multiplicity 4)
O: 0.0000 0.3332 0.9883 (multiplicity 4)
O: 0.0000 0.3513 0.3927 (multiplicity 4)
O: 0.0000 0.4838 0.7922 (multiplicity 4)

Properties
ρ ... 7.5 g/cm³
Total magnetic moment ... 0.0 μB per formula unit
Raw formation energy ... -1.148 eV/atom